Compound: La2YMg
Source: Alexandria via LeMat-Bulk
Functional: PBEsol
Structure: relaxed

Lattice parameters (Å, degrees): 5.736 5.736 3.801 90.00 90.00 90.84
Element x y z (fractional)
La 0.000 0.500 0.000
La 0.500 0.000 0.000
Y 0.000 0.000 0.500
Mg 0.500 0.500 0.500

* N(E_F): 1.151 states/eV per atom
* energy of formation: 0.002 eV per atom
* final energy: -4.81 eV per atom